CsMnPPt2 after structural relaxation, computed with PBE-GGA.

Cell and atoms, written as extended XYZ:
```
5
Lattice="4.6578 0.0000 0.0000 0.0000 5.4754 0.0000 0.0000 0.0000 4.6578" Properties=species:S:1:pos:R:3 pbc="T T T"
P 2.3289 2.7377 2.3289
Mn 0.0000 0.0000 0.0000
Cs 0.0000 2.7377 0.0000
Pt 2.3289 0.0000 0.0000
Pt 0.0000 0.0000 2.3289
```

Computed properties:
Space group: P4/mmm (123)
Calculated total energy: -4.12 eV per atom
DFT formation energy: 1.380 eV/atom